The following is a GGA-PBE calculation of a relaxed Pm3Zn3Rh crystal, from the Alexandria database.

The structure in POSCAR format:
```
Pm3Zn3Rh
1.0
-1.9096 2.2448 9.5887
1.9096 -2.2448 9.5887
1.9096 2.2448 -9.5887
Pm Zn Rh
3 3 1
Direct
0.0000 0.0000 0.0000
0.3705 0.3705 0.0000
0.6990 0.1990 0.5000
0.1255 0.6255 0.5000
0.5527 0.5527 0.0000
0.8302 0.8302 0.0000
0.2599 0.7599 0.5000
```

E_form	-439.1	meV/atom
SG	Imm2, No. 44

---

The following is a GGA-PBE calculation of a relaxed MgMn2C crystal, from the Alexandria database.

The structure in POSCAR format:
```
MgMn2C
1.0
0.0000 2.7908 2.7908
2.7908 0.0000 2.7908
2.7908 2.7908 0.0000
Mg Mn C
1 2 1
Direct
0.0000 0.0000 0.0000
0.2500 0.2500 0.2500
0.7500 0.7500 0.7500
0.5000 0.5000 0.5000
```

E_form	1191.1	meV/atom
SG	Fm-3m, No. 225

---

The following is a GGA-PBE calculation of a relaxed Al3Pb crystal, from the Alexandria database.

The structure in POSCAR format:
```
Al3Pb
1.0
3.1187 0.0000 0.0000
0.0000 4.3257 0.0000
0.0000 0.0000 6.5657
Al Pb
3 1
Direct
0.0000 0.0000 0.0000
0.0000 0.5000 0.2597
0.5000 0.0000 0.3738
0.5000 0.5000 0.7228
```

E_form	232.2	meV/atom
SG	Pmm2, No. 25

---

The following is a GGA-PBE calculation of a relaxed SiAg2S4 crystal, from the Alexandria database.

The structure in POSCAR format:
```
SiAg2S4
1.0
6.3671 -1.7270 0.0000
6.3671 1.7270 0.0000
-2.7786 0.0000 6.0605
Si Ag S
1 2 4
Direct
0.0000 0.0000 0.0000
0.3000 0.3000 0.3107
0.7000 0.7000 0.6893
0.1130 0.1130 0.3669
0.3818 0.3818 0.0325
0.6182 0.6182 0.9675
0.8870 0.8870 0.6331
```

SG	C2/m, No. 12
electronic total energy	-27.776	eV/f.u.

---

The following is a GGA-PBE calculation of a relaxed InCuSb2 crystal, from the Alexandria database.

The structure in POSCAR format:
```
InCuSb2
1.0
3.2161 0.0000 0.0000
0.0000 3.2161 0.0000
0.0000 0.0000 9.1020
In Cu Sb
1 1 2
Direct
0.0000 0.0000 0.0000
0.5000 0.5000 0.7912
0.0000 0.0000 0.6036
0.5000 0.5000 0.2914
```

SG	P4mm, No. 99
electronic total energy	-14.243	eV/f.u.

---

The following is a GGA-PBE calculation of a relaxed NaLa2GaO5 crystal, from the Alexandria database.

The structure in POSCAR format:
```
NaLa2GaO5
1.0
6.8745 0.0000 0.0000
0.0000 6.8745 0.0000
0.0000 0.0000 5.8452
Na La Ga O
2 4 2 10
Direct
0.0000 0.0000 0.0000
0.5000 0.5000 0.0000
0.1812 0.3188 0.5000
0.3188 0.8188 0.5000
0.6812 0.1812 0.5000
0.8188 0.6812 0.5000
0.0000 0.5000 0.0000
0.5000 0.0000 0.0000
0.0000 0.0000 0.5000
0.1344 0.6344 0.2360
0.1344 0.6344 0.7640
0.3656 0.1344 0.2360
0.3656 0.1344 0.7640
0.5000 0.5000 0.5000
0.6344 0.8656 0.2360
0.6344 0.8656 0.7640
0.8656 0.3656 0.2360
0.8656 0.3656 0.7640
```

SG	P4/mbm, No. 127
electronic total energy	-61.744	eV/f.u.

---

The following is a GGA-PBE calculation of a relaxed LiTmC crystal, from the Alexandria database.

The structure in POSCAR format:
```
LiTmC
1.0
-1.7434 1.7434 9.7199
1.7434 -1.7434 9.7199
1.7434 1.7434 -9.7199
Li Tm C
2 2 2
Direct
0.0767 0.0767 0.0000
0.9233 0.9233 0.0000
0.3107 0.3107 0.0000
0.6893 0.6893 0.0000
0.1840 0.1840 0.0000
0.8160 0.8160 0.0000
```

E_form	12.7	meV/atom
SG	I4/mmm, No. 139

---

The following is a GGA-PBE calculation of a relaxed LiCd2Si2 crystal, from the Alexandria database.

The structure in POSCAR format:
```
LiCd2Si2
1.0
7.0017 0.0000 0.0000
0.0000 7.0017 0.0000
0.0000 0.0000 4.0101
Li Cd Si
2 4 4
Direct
0.0000 0.0000 0.0000
0.5000 0.5000 0.0000
0.1897 0.3103 0.5000
0.3103 0.8103 0.5000
0.6897 0.1897 0.5000
0.8103 0.6897 0.5000
0.1174 0.6174 0.0000
0.3826 0.1174 0.0000
0.6174 0.8826 0.0000
0.8826 0.3826 0.0000
```

SG	P4/mbm, No. 127
electronic total energy	-13.750	eV/f.u.

---

The following is a GGA-PBE calculation of a relaxed Ca3CdIn12 crystal, from the Alexandria database.

The structure in POSCAR format:
```
Ca3CdIn12
1.0
4.7768 0.0000 0.0000
0.0000 4.7768 0.0000
0.0000 0.0000 18.4793
Ca Cd In
3 1 12
Direct
0.0000 0.0000 0.0000
0.0000 0.0000 0.2515
0.0000 0.0000 0.7485
0.0000 0.0000 0.5000
0.0000 0.5000 0.1258
0.0000 0.5000 0.3803
0.0000 0.5000 0.6197
0.0000 0.5000 0.8742
0.5000 0.0000 0.1258
0.5000 0.0000 0.3803
0.5000 0.0000 0.6197
0.5000 0.0000 0.8742
0.5000 0.5000 0.0000
0.5000 0.5000 0.2487
0.5000 0.5000 0.5000
0.5000 0.5000 0.7513
```

E_form	-224.7	meV/atom
SG	P4/mmm, No. 123

---

The following is a GGA-PBE calculation of a relaxed CaPr12Nd3 crystal, from the Alexandria database.

The structure in POSCAR format:
```
CaPr12Nd3
1.0
5.2596 0.0000 0.0000
0.0000 5.2596 0.0000
0.0000 0.0000 20.9870
Ca Pr Nd
1 12 3
Direct
0.0000 0.0000 0.0000
0.0000 0.5000 0.1282
0.0000 0.5000 0.3758
0.0000 0.5000 0.6242
0.0000 0.5000 0.8718
0.5000 0.0000 0.1282
0.5000 0.0000 0.3758
0.5000 0.0000 0.6242
0.5000 0.0000 0.8718
0.5000 0.5000 0.0000
0.5000 0.5000 0.2498
0.5000 0.5000 0.5000
0.5000 0.5000 0.7502
0.0000 0.0000 0.2503
0.0000 0.0000 0.5000
0.0000 0.0000 0.7497
```

E_form	21.6	meV/atom
SG	P4/mmm, No. 123

---

The following is a GGA-PBE calculation of a relaxed GaP2C4 crystal, from the Alexandria database.

The structure in POSCAR format:
```
GaP2C4
1.0
-1.9953 1.9953 5.2004
1.9953 -1.9953 5.2004
1.9953 1.9953 -5.2004
Ga P C
1 2 4
Direct
0.0000 0.0000 0.0000
0.3874 0.3874 0.0000
0.6126 0.6126 0.0000
0.0000 0.5000 0.5000
0.2251 0.2251 0.0000
0.5000 0.0000 0.5000
0.7749 0.7749 0.0000
```

E_form	2160.7	meV/atom
SG	I4/mmm, No. 139

---

The following is a GGA-PBE calculation of a relaxed Sr8TlPb2 crystal, from the Alexandria database.

The structure in POSCAR format:
```
Sr8TlPb2
1.0
-2.8511 4.6009 8.4595
2.8511 -4.6009 8.4595
2.8511 4.6009 -8.4595
Sr Tl Pb
8 1 2
Direct
0.1246 0.3449 0.7797
0.1458 0.1458 0.0000
0.3102 0.0000 0.3102
0.4348 0.6551 0.7797
0.5652 0.3449 0.2203
0.6898 0.0000 0.6898
0.8542 0.8542 0.0000
0.8754 0.6551 0.2203
0.0000 0.5000 0.5000
0.3082 0.8082 0.5000
0.6918 0.1918 0.5000
```

E_form	-272.6	meV/atom
SG	Immm, No. 71